Crystalline Bi3PtAu at its relaxed geometry, computed with PBE.

The crystal system is monoclinic. Its total moment is 0.00 μB per formula unit. The polymorph energy (0 for the lowest one) comes out at 0.0220 eV per atom. Its density of states at the Fermi level is 4.71 states/eV/cell. For the energy of formation, the calculation gives -0.2 eV per formula unit.

The space group is P2_1/m (No. 11) and the conventional cell measures 5.688, 8.416 and 6.338 Å, with angles of 90.00, 112.25 and 90.00 degrees. Symmetry generates all atoms from Bi at (0.064, 0.250, 0.473), Bi at (0.289, 0.532, 0.212), Pt at (0.447, 0.750, 0.594) and Au at (0.380, 0.250, 0.938).

=====

Crystalline HgTe2Pb at its relaxed geometry, computed with PBE.

The crystal system is trigonal. Its total moment is 0.00 μB per formula unit. Its density of states at the Fermi level is 3.26 states/eV/cell. As for the uncorrected formation energy: -13 kJ/mol of atoms.

The space group is R3m (No. 160, hexagonal axes) and the conventional cell measures 4.4499, 4.4499 and 22.9329 Å, with angles of 90.00, 90.00 and 120.00 degrees. Symmetry generates all atoms from Hg at (0.0000, 0.0000, 0.0000), Te at (0.0000, 0.0000, 0.4204), Te at (0.0000, 0.0000, 0.6020) and Pb at (0.0000, 0.0000, 0.1700).

=====

Crystalline BaZnH at its relaxed geometry, computed with PBE.

The crystal system is monoclinic. Its total moment is 0.00 μB per formula unit. Its density of states at the Fermi level is 2.10 states/eV/cell. The value obtained for the total energy is -7.22 eV per formula unit.

The space group is P2_1/m (No. 11) and the conventional cell measures 3.746, 3.743 and 9.607 Å, with angles of 90.00, 95.48 and 90.00 degrees. Symmetry generates all atoms from Ba at (0.193, 0.250, 0.313), Zn at (0.274, 0.250, 0.955) and H at (0.277, 0.250, 0.599).

=====

Crystalline RbBSe2 at its relaxed geometry, computed with PBE.

The crystal system is tetragonal. Its total moment is 0.00 μB per formula unit. Its density of states at the Fermi level is 0.00 states/eV/cell. As for the uncorrected formation energy: -44 kJ/mol of atoms.

The space group is I-42d (No. 122) and the conventional cell measures 6.858, 6.858 and 8.215 Å, with angles of 90.00, 90.00 and 90.00 degrees. Symmetry generates all atoms from Rb at (0.000, 0.000, 0.000), B at (0.000, 0.000, 0.500) and Se at (0.115, 0.750, 0.625).

=====

Crystalline RbCr2Se4 at its relaxed geometry, computed with PBE.

The crystal system is monoclinic. Its total moment is 5.08 μB per formula unit. The polymorph energy (0 for the lowest one) comes out at 0.0000 eV per atom. Its density of states at the Fermi level is 6.42 states/eV/cell. As for the uncorrected formation energy: -68 kJ/mol of atoms.

The space group is C2/m (No. 12) and the conventional cell measures 17.420, 3.691 and 6.162 Å, with angles of 90.00, 107.50 and 90.00 degrees. Symmetry generates all atoms from Rb at (0.000, 0.000, 0.000), Cr at (0.249, 0.500, 0.735), Se at (0.161, 0.000, 0.512) and Se at (0.169, 0.500, 0.018).

=====

Crystalline K5Rb2Cl3O2 at its relaxed geometry, computed with PBE.

The crystal system is tetragonal. Its total moment is 0.00 μB per formula unit. As for the uncorrected formation energy: -142 kJ/mol of atoms.

The space group is I4/mmm (No. 139) and the conventional cell measures 5.198, 5.198 and 27.293 Å, with angles of 90.00, 90.00 and 90.00 degrees. Symmetry generates all atoms from K at (0.000, 0.000, 0.000), K at (0.000, 0.500, 0.095), Rb at (0.000, 0.000, 0.195), Cl at (0.000, 0.000, 0.320), Cl at (0.000, 0.000, 0.500) and O at (0.000, 0.000, 0.097).

=====

Crystalline Na2Zn2HgPd5 at its relaxed geometry, computed with PBE.

The crystal system is tetragonal. Its total moment is 0.00 μB per formula unit. Its density of states at the Fermi level is 6.21 states/eV/cell. For the energy of formation, the calculation gives -3.0 eV per formula unit.

The space group is P4/mbm (No. 127) and the conventional cell measures 9.589, 9.589 and 3.841 Å, with angles of 90.00, 90.00 and 90.00 degrees. Symmetry generates all atoms from Na at (0.175, 0.325, 0.000), Zn at (0.124, 0.624, 0.000), Hg at (0.000, 0.000, 0.000), Pd at (0.000, 0.500, 0.500) and Pd at (0.068, 0.792, 0.500).

=====

Crystalline TiAl2Ru at its relaxed geometry, computed with PBE.

The crystal system is tetragonal. Its total moment is 0.00 μB per formula unit. Its density of states at the Fermi level is 3.73 states/eV/cell. For the energy of formation, the calculation gives -2.1 eV per formula unit.

The space group is P4/mmm (No. 123) and the conventional cell measures 3.009, 3.009 and 6.643 Å, with angles of 90.00, 90.00 and 90.00 degrees. Symmetry generates all atoms from Ti at (0.000, 0.000, 0.000), Al at (0.500, 0.500, 0.287) and Ru at (0.000, 0.000, 0.500).

=====

Crystalline K3NdBi2S6 at its relaxed geometry, computed with PBE.

The crystal system is monoclinic. Its total moment is 0.00 μB per formula unit. Its density of states at the Fermi level is 0.00 states/eV/cell. As for the uncorrected formation energy: -111 kJ/mol of atoms.

The space group is C2/m (No. 12) and the conventional cell measures 7.232, 12.525 and 7.794 Å, with angles of 90.00, 108.00 and 90.00 degrees. Symmetry generates all atoms from K at (0.000, 0.000, 0.000), K at (0.000, 0.332, 0.000), Nd at (0.000, 0.500, 0.500), Bi at (0.000, 0.166, 0.500), S at (0.236, 0.000, 0.710) and S at (0.237, 0.333, 0.709).

=====

Crystalline Li7TbBi4 at its relaxed geometry, computed with PBE.

The crystal system is monoclinic. Its total moment is 0.58 μB per formula unit. Its density of states at the Fermi level is 6.57 states/eV/cell. For the energy of formation, the calculation gives -3.4 eV per formula unit.

The space group is C2/m (No. 12) and the conventional cell measures 12.684, 5.176 and 10.421 Å, with angles of 90.00, 125.29 and 90.00 degrees. Symmetry generates all atoms from Li at (0.000, 0.000, 0.000), Li at (0.092, 0.500, 0.440), Li at (0.184, 0.000, 0.902), Li at (0.204, 0.000, 0.634), Tb at (0.000, 0.500, 0.000), Bi at (0.087, 0.000, 0.298) and Bi at (0.199, 0.500, 0.781).

=====

Crystalline ScTiO2F at its relaxed geometry, computed with PBE.

The crystal system is tetragonal. Its total moment is 2.00 μB per formula unit. Its density of states at the Fermi level is 1.81 states/eV/cell. As for the uncorrected formation energy: -224 kJ/mol of atoms.

The space group is P4/mmm (No. 123) and the conventional cell measures 4.110, 4.110 and 3.909 Å, with angles of 90.00, 90.00 and 90.00 degrees. Symmetry generates all atoms from Sc at (0.000, 0.000, 0.000), Ti at (0.500, 0.500, 0.500), O at (0.000, 0.500, 0.000) and F at (0.000, 0.000, 0.500).

=====

Crystalline Rb3Pm3TiTe8 at its relaxed geometry, computed with PBE.

The crystal system is trigonal. Its total moment is 0.09 μB per formula unit. As for the uncorrected formation energy: -117 kJ/mol of atoms.

The space group is R-3m (No. 166, hexagonal axes) and the conventional cell measures 8.9176, 8.9176 and 26.4047 Å, with angles of 90.00, 90.00 and 120.00 degrees. Symmetry generates all atoms from Rb at (0.0000, 0.5000, 0.0000), Pm at (0.0000, 0.5000, 0.5000), Ti at (0.0000, 0.0000, 0.5000), Te at (0.0000, 0.0000, 0.2354) and Te at (0.0299, 0.5149, 0.2296).